# 1
{
  "formula": "MgZr2Se4",
  "functional": "PBE",
  "state": "optimized geometry",
  "e_tot_ev_per_atom": -5.581,
  "magmom_total_mub_per_fu": 1.60,
  "lattice": [[-3.000, 3.000, 5.614], [3.000, -3.000, 5.614], [3.000, 3.000, -5.614]],
  "species": ["Mg", "Se", "Se", "Se", "Se", "Zr", "Zr"],
  "fractional_positions": [[0.000, 0.000, 0.000], [0.902, 0.399, 0.034], [0.132, 0.098, 0.496], [0.601, 0.636, 0.504], [0.364, 0.868, 0.966], [0.500, 0.500, 0.000], [0.750, 0.250, 0.500]]
}

# 2
{
  "formula": "TmInAsO",
  "functional": "PBE",
  "state": "optimized geometry",
  "de_polymorph_mev_per_atom": 0,
  "magmom_total_mub_per_fu": 0.02,
  "lattice": [[-2.149, -2.973, 1.709], [2.990, -2.612, -0.783], [4.041, 2.039, 8.627]],
  "species": ["As", "As", "In", "In", "O", "O", "Tm", "Tm"],
  "fractional_positions": [[0.000, 0.500, 0.277], [0.500, 0.000, 0.723], [0.000, 0.000, 0.500], [0.500, 0.500, 0.500], [0.000, 0.000, 0.000], [0.500, 0.500, 0.000], [0.500, 0.000, 0.101], [0.000, 0.500, 0.899]]
}

# 3
{
  "formula": "PrNdTc",
  "functional": "PBE",
  "state": "optimized geometry",
  "delta_e_f_ev_per_atom": 0.94,
  "magmom_total_mub_per_fu": 0.65,
  "lattice": [[-4.770, -0.866, 0.591], [-3.292, 3.094, -1.856], [-2.730, -1.342, -3.821]],
  "species": ["Nd", "Pr", "Tc"],
  "fractional_positions": [[0.000, 0.000, 0.000], [0.250, 0.250, 0.250], [0.750, 0.750, 0.750]]
}

# 4
{
  "formula": "MgTaAlFe",
  "functional": "PBE",
  "state": "optimized geometry",
  "de_polymorph_mev_per_atom": 373,
  "magmom_total_mub_per_fu": 2.74,
  "lattice": [[0.000, 3.165, 3.165], [3.165, 0.000, 3.165], [3.165, 3.165, 0.000]],
  "species": ["Al", "Fe", "Mg", "Ta"],
  "fractional_positions": [[0.000, 0.000, 0.000], [0.750, 0.750, 0.750], [0.500, 0.500, 0.500], [0.250, 0.250, 0.250]]
}

# 5
{
  "formula": "HfZr2",
  "functional": "PBE",
  "state": "optimized geometry",
  "delta_e_f_ev_per_atom": 0.00,
  "magmom_total_mub_per_fu": 0.02,
  "lattice": [[-2.466, -4.294, -2.552], [8.657, -3.830, -1.923], [-0.145, -2.561, 4.448]],
  "species": ["Hf", "Hf", "Hf", "Hf", "Zr", "Zr", "Zr", "Zr", "Zr", "Zr", "Zr", "Zr"],
  "fractional_positions": [[0.002, 0.000, 0.000], [0.502, 0.500, 0.000], [0.331, 0.000, 0.500], [0.831, 0.500, 0.500], [0.498, 0.165, 0.000], [0.998, 0.335, 0.000], [0.998, 0.665, 0.000], [0.498, 0.835, 0.000], [0.835, 0.165, 0.500], [0.335, 0.335, 0.500], [0.335, 0.665, 0.500], [0.835, 0.835, 0.500]]
}

# 6
{
  "formula": "FeTcPbW",
  "functional": "PBE",
  "state": "optimized geometry",
  "de_polymorph_mev_per_atom": 0,
  "magmom_total_mub_per_fu": 1.06,
  "lattice": [[2.987, -3.344, 0.145], [-1.164, -3.974, 1.725], [-0.484, -3.558, -2.690]],
  "species": ["Fe", "Pb", "Tc", "W"],
  "fractional_positions": [[0.750, 0.750, 0.750], [0.000, 0.000, 0.000], [0.250, 0.250, 0.250], [0.500, 0.500, 0.500]]
}

# 7
{
  "formula": "Sm2Au2O5",
  "functional": "PBE",
  "state": "optimized geometry",
  "de_polymorph_mev_per_atom": 0,
  "magmom_total_mub_per_fu": 1.46,
  "lattice": [[9.172, 0.000, 0.000], [0.000, 3.973, 0.000], [0.000, 0.000, 3.973]],
  "species": ["Au", "Au", "O", "O", "O", "O", "O", "Sm", "Sm"],
  "fractional_positions": [[0.000, 0.000, 0.000], [0.500, 0.000, 0.000], [0.141, 0.500, 0.000], [0.859, 0.500, 0.000], [0.141, 0.000, 0.500], [0.859, 0.000, 0.500], [0.500, 0.500, 0.500], [0.254, 0.500, 0.500], [0.746, 0.500, 0.500]]
}

# 8
{
  "formula": "NdTh4Cl2",
  "functional": "PBE",
  "state": "optimized geometry",
  "e_tot_ev_per_atom": -5.432,
  "magmom_total_mub_per_fu": 0.02,
  "lattice": [[6.511, 0.252, -0.069], [-3.325, 0.074, 5.604], [-1.372, -5.833, -2.561]],
  "species": ["Cl", "Cl", "Nd", "Th", "Th", "Th", "Th"],
  "fractional_positions": [[0.750, 0.250, 0.500], [0.250, 0.750, 0.500], [0.000, 0.000, 0.000], [0.716, 0.284, 0.000], [0.284, 0.716, 0.000], [0.716, 0.716, 0.432], [0.284, 0.284, 0.568]]
}

# 9
{
  "formula": "CuCSN",
  "functional": "PBE",
  "state": "optimized geometry",
  "de_polymorph_mev_per_atom": 16,
  "lattice": [[-2.559, -10.028, -3.689], [5.930, -2.633, 3.044], [-3.373, -1.181, 5.550]],
  "species": ["C", "C", "C", "C", "C", "C", "C", "C", "Cu", "Cu", "Cu", "Cu", "Cu", "Cu", "Cu", "Cu", "N", "N", "N", "N", "N", "N", "N", "N", "S", "S", "S", "S", "S", "S", "S", "S"],
  "fractional_positions": [[0.922, 0.296, 0.140], [0.578, 0.796, 0.140], [0.422, 0.296, 0.360], [0.078, 0.796, 0.360], [0.922, 0.204, 0.640], [0.578, 0.704, 0.640], [0.422, 0.204, 0.860], [0.078, 0.704, 0.860], [0.184, 0.156, 0.136], [0.316, 0.656, 0.136], [0.684, 0.156, 0.364], [0.816, 0.656, 0.364], [0.184, 0.344, 0.636], [0.316, 0.844, 0.636], [0.684, 0.344, 0.864], [0.816, 0.844, 0.864], [0.019, 0.232, 0.118], [0.481, 0.732, 0.118], [0.519, 0.232, 0.382], [0.981, 0.732, 0.382], [0.019, 0.268, 0.618], [0.481, 0.768, 0.618], [0.519, 0.268, 0.882], [0.981, 0.768, 0.882], [0.783, 0.383, 0.174], [0.717, 0.883, 0.174], [0.283, 0.383, 0.326], [0.217, 0.883, 0.326], [0.783, 0.117, 0.674], [0.717, 0.617, 0.674], [0.283, 0.117, 0.826], [0.217, 0.617, 0.826]]
}

# 10
{
  "formula": "LaGdAl2",
  "functional": "PBE",
  "state": "optimized geometry",
  "de_polymorph_mev_per_atom": 0,
  "magmom_total_mub_per_fu": 0.00,
  "lattice": [[5.976, 0.000, 0.000], [0.000, 5.685, 0.000], [-1.132, 0.000, 5.919]],
  "species": ["Al", "Al", "Al", "Al", "Gd", "Gd", "La", "La"],
  "fractional_positions": [[0.000, 0.000, 0.000], [0.000, 0.500, 0.000], [0.314, 0.250, 0.301], [0.686, 0.750, 0.699], [0.522, 0.750, 0.160], [0.478, 0.250, 0.840], [0.843, 0.250, 0.483], [0.157, 0.750, 0.517]]
}

# 11
{
  "formula": "HfPt2Pb",
  "functional": "PBE",
  "state": "optimized geometry",
  "e_tot_ev_per_atom": -6.762,
  "magmom_total_mub_per_fu": 0.00,
  "lattice": [[0.000, 3.349, 3.349], [3.349, 0.000, 3.349], [3.349, 3.349, 0.000]],
  "species": ["Hf", "Pb", "Pt", "Pt"],
  "fractional_positions": [[0.250, 0.250, 0.250], [0.500, 0.500, 0.500], [0.000, 0.000, 0.000], [0.750, 0.750, 0.750]]
}

# 12
{
  "formula": "CsRbWSe3",
  "functional": "PBE",
  "state": "optimized geometry",
  "e_tot_ev_per_atom": -4.985,
  "magmom_total_mub_per_fu": 0.06,
  "lattice": [[-7.043, -1.967, 0.849], [-1.157, -7.474, 2.768], [-2.858, 1.030, 8.608]],
  "species": ["Cs", "Cs", "Rb", "Rb", "Se", "Se", "Se", "Se", "Se", "Se", "W", "W"],
  "fractional_positions": [[0.332, 0.569, 0.308], [0.668, 0.431, 0.692], [0.090, 0.195, 0.134], [0.910, 0.805, 0.866], [0.621, 0.162, 0.102], [0.822, 0.639, 0.271], [0.258, 0.970, 0.488], [0.742, 0.030, 0.512], [0.178, 0.361, 0.729], [0.379, 0.838, 0.898], [0.619, 0.947, 0.339], [0.381, 0.053, 0.661]]
}